The following is a GGA-PBE calculation of TePd3W after structural relaxation, from the Alexandria database. Values from VASP.

Structure (Quantum ESPRESSO input):
```
&SYSTEM
  ibrav = 0, nat = 5, ntyp = 3
/
ATOMIC_SPECIES
Te 127.60 Te.upf
Pd 106.42 Pd.upf
W 183.84 W.upf
ATOMIC_POSITIONS angstrom
Te 2.4338 2.4338 2.4338
Pd 0.0000 2.4338 0.0000
Pd 0.0000 0.0000 2.4338
Pd 2.4338 0.0000 0.0000
W 0.0000 0.0000 0.0000
CELL_PARAMETERS angstrom
4.8676 0.0000 0.0000
0.0000 4.8676 0.0000
0.0000 0.0000 4.8676
```

Relative energy among the computed polymorphs, eV per atom: 0.000
Raw formation energy, kJ/mol of atoms: 102
Energy, eV/cell: -26.37
Density of states at the Fermi level, states/eV/f.u.: 6.81

=====

The following is a GGA-PBE calculation of Ba12Cu3Pd5 after structural relaxation, from the Alexandria database. Values from VASP.

Structure (Quantum ESPRESSO input):
```
&SYSTEM
  ibrav = 0, nat = 80, ntyp = 3
/
ATOMIC_SPECIES
Cu 63.55 Cu.upf
Pd 106.42 Pd.upf
Ba 137.33 Ba.upf
ATOMIC_POSITIONS angstrom
Cu 9.7286 4.9137 1.7021
Cu 9.7286 10.8101 1.7021
Cu -1.3898 6.8791 8.5107
Cu 1.3898 -0.9827 5.1064
Cu 12.5081 0.0000 3.4043
Cu 1.3898 7.8619 3.4043
Cu 4.1694 0.0000 10.2129
Cu -6.9490 7.8619 10.2129
Cu 4.1694 8.8446 8.5107
Cu 6.9490 0.9827 5.1064
Cu -4.1694 -2.9482 11.9150
Cu -4.1694 2.9482 11.9150
Pd -1.3898 3.9309 3.4043
Pd -2.7796 7.8619 0.0000
Pd 0.0000 0.0000 0.0000
Pd 4.1694 2.9482 1.7021
Pd 5.5592 -3.9309 6.8086
Pd 5.5592 7.8619 0.0000
Pd -4.1694 8.8446 5.1064
Pd 6.9490 -4.9137 11.9150
Pd 6.9490 6.8791 5.1064
Pd 1.3898 -3.9309 10.2129
Pd 4.1694 11.7928 3.4043
Pd 2.7796 3.9309 6.8086
Pd 8.3388 0.0000 0.0000
Pd -2.7796 -3.9309 6.8086
Pd -1.3898 0.9827 8.5107
Pd -1.3898 12.7755 1.7021
Pd -5.5592 3.9309 6.8086
Pd 9.7286 -0.9827 8.5107
Pd 1.3898 4.9137 11.9150
Pd 6.9490 3.9309 10.2129
Ba 10.9991 1.6699 0.5118
Ba 0.1193 5.2091 5.6183
Ba 12.3744 3.6457 3.8985
Ba 7.0827 2.3776 1.7020
Ba 2.0920 5.9066 9.2069
Ba 11.8061 7.8516 2.3983
Ba -1.2561 9.1300 5.6005
Ba -4.3031 13.3461 1.7020
Ba 0.6876 9.8171 9.2069
Ba 7.6510 7.8721 2.3983
Ba 8.4580 4.3226 5.1065
Ba 8.4580 14.0538 0.5118
Ba -4.8716 6.9957 7.3204
Ba 3.4673 5.7900 1.2080
Ba -5.6784 11.4011 5.1065
Ba 2.8989 -2.6528 7.9988
Ba -0.6876 1.0892 2.9101
Ba 3.4673 9.9440 1.1902
Ba 7.0827 12.0780 3.8985
Ba -0.6877 5.7797 1.1902
Ba -3.4672 8.9510 10.7071
Ba 4.0357 6.5938 5.6005
Ba 7.6512 8.7280 7.3204
Ba 6.2469 -2.0718 12.4091
Ba 1.5235 1.2681 8.0166
Ba -2.0920 -0.8661 6.2968
Ba -0.6877 9.9337 1.2080
Ba -1.5235 -4.2161 9.7187
Ba 9.0263 -1.0892 2.9101
Ba 6.2469 2.0821 12.4269
Ba 2.0919 -2.0821 12.4269
Ba 2.6603 10.5146 5.6183
Ba 6.2468 6.7727 10.7071
Ba 11.2376 -3.5392 8.5106
Ba 10.4308 0.8661 6.2968
Ba -2.8988 -6.1920 13.1053
Ba 2.0918 2.0718 12.4091
Ba 4.8716 -1.9553 4.4103
Ba -2.0918 -0.0103 11.2189
Ba -2.8989 3.5392 8.5106
Ba 9.8623 -5.4843 11.9151
Ba 6.8152 -1.2681 8.0166
Ba -1.5235 5.4843 11.9151
Ba -6.2469 0.0103 11.2189
Ba 3.4672 1.9553 4.4103
Ba -6.8152 4.2161 9.7187
Ba 5.4399 2.6527 7.9988
Ba -5.4399 6.1920 13.1053
CELL_PARAMETERS angstrom
16.6775 0.0000 0.0000
-5.5592 15.7237 0.0000
-5.5592 -7.8619 13.6171
```

Energy, eV/cell: -252.90
Energy of formation, eV/atom: -0.095
Density of states at the Fermi level, states/eV/f.u.: 17.33

=====

The following is a GGA-PBE calculation of La3AgP after structural relaxation, from the Alexandria database. Values from VASP.

Structure (Quantum ESPRESSO input):
```
&SYSTEM
  ibrav = 0, nat = 5, ntyp = 3
/
ATOMIC_SPECIES
P 30.97 P.upf
Ag 107.87 Ag.upf
La 138.91 La.upf
ATOMIC_POSITIONS angstrom
P 0.0000 0.0000 0.0000
Ag 2.7937 2.7937 2.7937
La 0.0000 2.7937 0.0000
La 0.0000 0.0000 2.7937
La 2.7937 0.0000 0.0000
CELL_PARAMETERS angstrom
5.5874 0.0000 0.0000
0.0000 5.5874 0.0000
0.0000 0.0000 5.5874
```

Relative energy among the computed polymorphs, eV per atom: 0.000
Energy, eV/cell: -25.15
Energy of formation, eV/atom: -0.420
Density of states at the Fermi level, states/eV/f.u.: 7.83

=====

The following is a GGA-PBE calculation of Er7Pd2Rh2 after structural relaxation, from the Alexandria database. Values from VASP.

Structure (Quantum ESPRESSO input):
```
&SYSTEM
  ibrav = 0, nat = 11, ntyp = 3
/
ATOMIC_SPECIES
Er 167.26 Er.upf
Pd 106.42 Pd.upf
Rh 102.91 Rh.upf
ATOMIC_POSITIONS angstrom
Er 3.1290 0.5992 3.6429
Er 3.6731 2.8836 10.2222
Er 1.8959 -0.1656 9.3924
Er 2.8166 3.7644 5.0993
Er 2.1849 5.5636 8.0447
Er 1.4525 5.3743 11.4600
Er 0.6333 0.8939 6.1632
Pd 0.8001 6.0094 5.3854
Pd 2.2523 2.6800 7.7306
Rh 3.6643 6.6408 10.2631
Rh 1.3312 2.6385 2.9093
CELL_PARAMETERS angstrom
3.7383 0.0000 0.8017
1.0290 7.8366 4.3184
0.0239 -0.1880 9.0046
```

Relative energy among the computed polymorphs, eV per atom: 0.000
Energy, eV/cell: -64.77
Energy of formation, eV/atom: -0.704
Density of states at the Fermi level, states/eV/f.u.: 9.44

=====

The following is a GGA-PBE calculation of KScPbCl6 after structural relaxation, from the Alexandria database. Values from VASP.

Structure (Quantum ESPRESSO input):
```
&SYSTEM
  ibrav = 0, nat = 18, ntyp = 4
/
ATOMIC_SPECIES
K 39.10 K.upf
Sc 44.96 Sc.upf
Pb 207.20 Pb.upf
Cl 35.45 Cl.upf
ATOMIC_POSITIONS angstrom
K 0.0000 0.0000 0.0000
K -3.3549 1.1309 5.5848
Sc -4.9788 1.6982 0.5798
Sc -7.8393 -1.1242 7.2621
Pb -4.4844 -2.2551 1.6774
Pb -8.3337 2.8291 6.1646
Cl -4.8374 -0.5078 -0.6214
Cl -5.3713 2.8501 -1.6221
Cl -7.8170 -3.2893 5.9811
Cl -7.4468 -2.2761 9.4641
Cl -4.6875 0.4446 2.7415
Cl -7.4754 1.5377 0.8454
Cl -10.3181 -1.4274 7.5673
Cl -5.0011 3.8634 1.8608
Cl -5.3427 -0.9636 6.9966
Cl -2.5000 2.0014 0.2746
Cl -8.1306 0.1295 5.1005
Cl -7.9807 1.0818 8.4633
CELL_PARAMETERS angstrom
-3.7958 5.0861 -3.3101
-2.3125 -6.7738 -0.0175
-6.7098 2.2618 11.1696
```

Raw formation energy, kJ/mol of atoms: -173
Energy, eV/cell: -76.69
Density of states at the Fermi level, states/eV/f.u.: 0.00

=====

The following is a GGA-PBE calculation of YSc2InRe after structural relaxation, from the Alexandria database. Values from VASP.

Structure (Quantum ESPRESSO input):
```
&SYSTEM
  ibrav = 0, nat = 5, ntyp = 4
/
ATOMIC_SPECIES
Y 88.91 Y.upf
Re 186.21 Re.upf
Sc 44.96 Sc.upf
In 114.82 In.upf
ATOMIC_POSITIONS angstrom
Y 0.0000 0.0000 0.0000
Re 2.4466 2.6765 2.4466
Sc 0.0000 0.0000 2.4466
Sc 2.4466 0.0000 0.0000
In 0.0000 2.6765 0.0000
CELL_PARAMETERS angstrom
4.8932 0.0000 0.0000
0.0000 5.3530 0.0000
0.0000 0.0000 4.8932
```

Energy, eV/cell: -24.45
Energy of formation, eV/atom: 1.973
Density of states at the Fermi level, states/eV/f.u.: 13.61

=====

The following is a GGA-PBE calculation of ScBe2 after structural relaxation, from the Alexandria database. Values from VASP.

Structure (Quantum ESPRESSO input):
```
&SYSTEM
  ibrav = 0, nat = 6, ntyp = 2
/
ATOMIC_SPECIES
Sc 44.96 Sc.upf
Be 9.01 Be.upf
ATOMIC_POSITIONS angstrom
Sc 0.0000 9.1269 3.8315
Sc 0.0000 2.5164 5.9379
Be 0.0000 8.4632 0.8373
Be 0.0000 2.8808 2.1542
Be 0.0000 6.6818 3.6230
Be 0.0000 5.5775 1.7236
CELL_PARAMETERS angstrom
1.4588 4.4337 -0.0239
-1.4588 4.4337 -0.0239
0.0000 0.4429 6.4555
```

Energy, eV/cell: -26.39
Energy of formation, eV/atom: 0.196
Density of states at the Fermi level, states/eV/f.u.: 2.00

=====

The following is a GGA-PBE calculation of SmDyTeS after structural relaxation, from the Alexandria database. Values from VASP.

Structure (Quantum ESPRESSO input):
```
&SYSTEM
  ibrav = 0, nat = 4, ntyp = 4
/
ATOMIC_SPECIES
Sm 150.36 Sm.upf
Dy 162.50 Dy.upf
Te 127.60 Te.upf
S 32.06 S.upf
ATOMIC_POSITIONS angstrom
Sm -2.6082 -0.7589 -2.2040
Dy -6.3901 -0.7287 2.2491
Te -4.5060 0.4315 0.0580
S -0.7180 -3.2854 1.6293
CELL_PARAMETERS angstrom
-0.3876 0.1216 -4.0491
0.0570 -3.5814 1.9325
-6.9099 1.3725 2.7475
```

Raw formation energy, kJ/mol of atoms: -166
Energy, eV/cell: -23.46
Density of states at the Fermi level, states/eV/f.u.: 0.18

=====

The following is a GGA-PBE calculation of TlCd2Hg5Pb after structural relaxation, from the Alexandria database. Values from VASP.

Structure (Quantum ESPRESSO input):
```
&SYSTEM
  ibrav = 0, nat = 18, ntyp = 4
/
ATOMIC_SPECIES
Tl 204.38 Tl.upf
Cd 112.41 Cd.upf
Hg 200.59 Hg.upf
Pb 207.20 Pb.upf
ATOMIC_POSITIONS angstrom
Tl -6.1025 5.7454 -0.2774
Tl -6.7824 13.3425 2.4636
Cd -9.7917 12.8636 1.0480
Cd -3.5135 11.0929 1.7154
Cd -3.0755 6.1397 1.1265
Cd -8.1772 2.2813 -0.3165
Hg -6.7082 -0.1059 1.0392
Hg -6.4934 10.8802 0.3232
Hg -9.1010 10.1536 2.4916
Hg -6.6136 8.1351 1.8901
Hg -9.5342 7.6172 0.4565
Hg -3.9962 8.7609 -0.2905
Hg -5.2832 2.9048 1.1324
Hg -2.7217 3.8519 -1.0057
Hg -4.1780 0.9371 -1.0839
Hg -1.2161 1.2574 0.3225
Pb -4.1650 13.9633 0.2825
Pb -8.6308 4.6978 1.8449
CELL_PARAMETERS angstrom
-0.5554 0.3726 -3.5469
-7.9864 -2.0646 2.8701
-3.1928 15.2763 2.1047
```

Energy, eV/cell: -18.37
Energy of formation, eV/atom: 0.025
Density of states at the Fermi level, states/eV/f.u.: 3.31

=====

The following is a GGA-PBE calculation of CeSmYTh after structural relaxation, from the Alexandria database. Values from VASP.

Structure (Quantum ESPRESSO input):
```
&SYSTEM
  ibrav = 0, nat = 4, ntyp = 4
/
ATOMIC_SPECIES
Y 88.91 Y.upf
Ce 140.12 Ce.upf
Sm 150.36 Sm.upf
Th 232.04 Th.upf
ATOMIC_POSITIONS angstrom
Y -8.2921 5.8307 -2.5308
Ce -5.5281 3.8871 -1.6872
Sm 0.0000 0.0000 0.0000
Th -2.7640 1.9436 -0.8436
CELL_PARAMETERS angstrom
-2.2709 5.2072 0.2673
-3.1711 1.9436 -4.3024
-5.6142 0.6234 0.6607
```

Relative energy among the computed polymorphs, eV per atom: 0.203
Energy, eV/cell: -23.58
Energy of formation, eV/atom: 0.240
Density of states at the Fermi level, states/eV/f.u.: 12.40

=====

The following is a GGA-PBE calculation of Sc2Mn2Ni after structural relaxation, from the Alexandria database. Values from VASP.

Structure (Quantum ESPRESSO input):
```
&SYSTEM
  ibrav = 0, nat = 10, ntyp = 3
/
ATOMIC_SPECIES
Sc 44.96 Sc.upf
Ni 58.69 Ni.upf
Mn 54.94 Mn.upf
ATOMIC_POSITIONS angstrom
Sc 2.3461 5.8050 0.0000
Sc 5.8050 4.5716 0.0000
Sc 4.5716 1.1127 0.0000
Sc 1.1127 2.3461 0.0000
Ni 0.0000 0.0000 0.0000
Ni 3.4588 3.4588 0.0000
Mn 0.9419 4.4007 1.8227
Mn 4.4007 5.9758 1.8227
Mn 5.9758 2.5170 1.8227
Mn 2.5170 0.9419 1.8227
CELL_PARAMETERS angstrom
6.9177 0.0000 0.0000
0.0000 6.9177 0.0000
0.0000 0.0000 3.6455
```

Relative energy among the computed polymorphs, eV per atom: 0.353
Energy, eV/cell: -70.27
Energy of formation, eV/atom: 0.330
Density of states at the Fermi level, states/eV/f.u.: 3.63

=====

The following is a GGA-PBE calculation of LaZrCu after structural relaxation, from the Alexandria database. Values from VASP.

Structure (Quantum ESPRESSO input):
```
&SYSTEM
  ibrav = 0, nat = 6, ntyp = 3
/
ATOMIC_SPECIES
Zr 91.22 Zr.upf
Cu 63.55 Cu.upf
La 138.91 La.upf
ATOMIC_POSITIONS angstrom
Zr 3.3479 2.6684 5.4743
Zr 0.9018 0.9694 6.6308
Cu 3.3806 0.9742 2.8127
Cu 0.7609 0.9738 0.9326
La 3.2265 2.6724 0.1575
La 0.9181 2.6740 3.4277
CELL_PARAMETERS angstrom
4.8840 0.0000 0.0023
0.0000 3.4005 -0.0003
0.1240 0.0000 8.5658
```

Relative energy among the computed polymorphs, eV per atom: 0.061
Energy, eV/cell: -35.07
Energy of formation, eV/atom: 0.012
Density of states at the Fermi level, states/eV/f.u.: 2.96

=====

- Look up the energy of the sixth one.
  -24.45 eV/cell